The following is a DFT calculation (PBE) of a relaxed NaIn4Hg6 crystal.

Lattice parameters (Å, degrees): 7.747 7.747 7.747 93.20 118.17 118.17
Fractional coordinates of all 11 atoms:
Na (0.000, 0.000, 0.000)
In (0.000, 0.247, 0.621)
In (0.627, 0.379, 0.379)
In (0.000, 0.621, 0.247)
In (0.373, 0.753, 0.753)
Hg (0.000, 0.873, 0.584)
Hg (0.000, 0.584, 0.873)
Hg (0.711, 0.127, 0.127)
Hg (0.500, 0.000, 0.500)
Hg (0.289, 0.416, 0.416)
Hg (0.500, 0.500, 0.000)

Results
Crystal system   tetragonal
Density of states at the Fermi level   5.72 states/eV/cell
Raw total energy   -13.7 eV/cell
SG   No. 121



The following is a DFT calculation (PBE) of a relaxed Na2In3Hg3 crystal.

Lattice parameters (Å, degrees): 3.430 8.408 8.408 120.00 90.00 90.00
Fractional coordinates of all 8 atoms:
Na (0.000, 0.667, 0.333)
Na (0.000, 0.333, 0.667)
In (0.000, 0.246, 0.246)
In (0.000, 0.000, 0.754)
In (0.000, 0.754, 0.000)
Hg (0.500, 0.631, 0.631)
Hg (0.500, 0.000, 0.369)
Hg (0.500, 0.369, 0.000)

Results
Crystal system   hexagonal
Density of states at the Fermi level   1.30 states/eV/cell
Raw total energy   -12.4 eV/cell
SG   No. 189



The following is a DFT calculation (PBE) of a relaxed Na5InHg6 crystal.

Lattice parameters (Å, degrees): 5.269 9.071 9.071 119.60 106.85 106.85
Fractional coordinates of all 12 atoms:
Na (0.500, 0.167, 0.833)
Na (0.000, 0.335, 0.665)
Na (0.500, 0.500, 0.500)
Na (0.000, 0.665, 0.335)
Na (0.500, 0.833, 0.167)
Hg (0.254, 0.083, 0.418)
Hg (0.746, 0.582, 0.917)
Hg (0.744, 0.245, 0.245)
Hg (0.256, 0.755, 0.755)
Hg (0.254, 0.418, 0.083)
Hg (0.746, 0.917, 0.582)
In (0.000, 0.000, 0.000)

Results
Crystal system   monoclinic
Density of states at the Fermi level   4.66 states/eV/cell
Raw total energy   -13.8 eV/cell
SG   No. 12



The following is a DFT calculation (PBE) of a relaxed Na7InHg4 crystal.

Lattice parameters (Å, degrees): 5.326 5.326 13.432 90.00 90.00 120.00
Fractional coordinates of all 12 atoms:
Na (0.000, 0.000, 0.000)
Na (0.333, 0.667, 0.392)
Na (0.667, 0.333, 0.608)
Na (0.333, 0.667, 0.101)
Na (0.667, 0.333, 0.899)
Na (0.000, 0.000, 0.744)
Na (0.000, 0.000, 0.256)
In (0.000, 0.000, 0.500)
Hg (0.333, 0.667, 0.853)
Hg (0.667, 0.333, 0.147)
Hg (0.333, 0.667, 0.624)
Hg (0.667, 0.333, 0.376)

Results
Crystal system   trigonal
Density of states at the Fermi level   3.87 states/eV/cell
Raw total energy   -15.3 eV/cell
SG   No. 164